# 1
# CaUAu2 (PBE-GGA, optimized geometry)
data_CaUAu2
_chemical_formula_sum 'Ca1 U1 Au2'
_symmetry_space_group_name_H-M 'P 4/m m m'
_symmetry_Int_Tables_number 123
_symmetry_space_group_name_Hall '-P 4 2'
_cell_length_a 5.376
_cell_length_b 5.376
_cell_length_c 3.204
_cell_angle_alpha 90.00
_cell_angle_beta 90.00
_cell_angle_gamma 90.00
loop_
_atom_site_label
_atom_site_fract_x
_atom_site_fract_y
_atom_site_fract_z
_atom_site_occupancy
Ca1 0.000 0.000 0.000 1
U1 0.500 0.500 0.000 1
Au1 0.000 0.500 0.500 1
# total magnetic moment: 3.06 μB/cell
# crystal system: tetragonal
# volume: 92.6 Å³ per cell
# final energy: -5.3179 eV/atom



# 2
# Tb2Y2Se3S2 (PBE-GGA, optimized geometry)
data_Tb2Y2Se3S2
_chemical_formula_sum 'Tb4 Y4 Se6 S4'
_symmetry_space_group_name_H-M 'I 4/m m m'
_symmetry_Int_Tables_number 139
_symmetry_space_group_name_Hall '-I 4 2'
_cell_length_a 5.577
_cell_length_b 5.577
_cell_length_c 14.096
_cell_angle_alpha 90.00
_cell_angle_beta 90.00
_cell_angle_gamma 90.00
loop_
_atom_site_label
_atom_site_fract_x
_atom_site_fract_y
_atom_site_fract_z
_atom_site_occupancy
Tb1 0.000 0.000 0.213 1
Y1 0.000 0.500 0.000 1
Se1 0.000 0.000 0.000 1
Se2 0.000 0.500 0.250 1
S1 0.000 0.000 0.401 1
# total magnetic moment: 0.00 μB/cell
# crystal system: tetragonal
# E_form (uncorrected): -1.59 eV/atom
# volume: 438.5 Å³ per cell



# 3
# CePm3Th4S8 (PBE-GGA, optimized geometry)
data_CePm3Th4S8
_chemical_formula_sum 'Ce3 Pm9 Th12 S24'
_symmetry_space_group_name_H-M 'R -3 m'
_symmetry_Int_Tables_number 166
_symmetry_space_group_name_Hall '-R 3 2"'
_cell_length_a 8.0053
_cell_length_b 8.0053
_cell_length_c 20.0758
_cell_angle_alpha 90.00
_cell_angle_beta 90.00
_cell_angle_gamma 120.00
loop_
_atom_site_label
_atom_site_fract_x
_atom_site_fract_y
_atom_site_fract_z
_atom_site_occupancy
Ce1 0.0000 0.0000 0.0000 1
Pm1 0.0000 0.5000 0.0000 1
Th1 0.0000 0.0000 0.5000 1
Th2 0.0000 0.5000 0.5000 1
S1 0.0000 0.0000 0.2512 1
S2 0.0002 0.5001 0.2512 1
# total magnetic moment: 1.89 μB/cell
# crystal system: trigonal
# E_form (uncorrected): -1.94 eV/atom
# volume: 1114.1 Å³ per cell



# 4
# CeMg2Pd (PBE-GGA, optimized geometry)
data_CeMg2Pd
_chemical_formula_sum 'Ce1 Mg2 Pd1'
_symmetry_space_group_name_H-M 'P 4/m m m'
_symmetry_Int_Tables_number 123
_symmetry_space_group_name_Hall '-P 4 2'
_cell_length_a 3.173
_cell_length_b 3.173
_cell_length_c 8.380
_cell_angle_alpha 90.00
_cell_angle_beta 90.00
_cell_angle_gamma 90.00
loop_
_atom_site_label
_atom_site_fract_x
_atom_site_fract_y
_atom_site_fract_z
_atom_site_occupancy
Ce1 0.000 0.000 0.000 1
Mg1 0.500 0.500 0.312 1
Pd1 0.000 0.000 0.500 1
# total magnetic moment: 0.92 μB/cell
# crystal system: tetragonal
# volume: 84.4 Å³ per cell
# final energy: -3.9258 eV/atom



# 5
# HfZrOF2 (PBE-GGA, optimized geometry)
data_HfZrOF2
_chemical_formula_sum 'Hf1 Zr1 O1 F2'
_symmetry_space_group_name_H-M 'P 4/m m m'
_symmetry_Int_Tables_number 123
_symmetry_space_group_name_Hall '-P 4 2'
_cell_length_a 4.397
_cell_length_b 4.397
_cell_length_c 4.158
_cell_angle_alpha 90.00
_cell_angle_beta 90.00
_cell_angle_gamma 90.00
loop_
_atom_site_label
_atom_site_fract_x
_atom_site_fract_y
_atom_site_fract_z
_atom_site_occupancy
Hf1 0.000 0.000 0.000 1
Zr1 0.500 0.500 0.500 1
O1 0.500 0.500 0.000 1
F1 0.000 0.500 0.500 1
# relative energy among the computed polymorphs: 1.22 eV/f.u.
# total magnetic moment: 3.15 μB/cell
# crystal system: tetragonal
# E_form (uncorrected): -1.58 eV/atom
# volume: 80.4 Å³ per cell



# 6
# LaTmTe6 (PBE-GGA, optimized geometry)
data_LaTmTe6
_chemical_formula_sum 'La2 Tm2 Te12'
_symmetry_space_group_name_H-M 'A m m 2'
_symmetry_Int_Tables_number 38
_symmetry_space_group_name_Hall 'A 2 -2'
_cell_length_a 4.377
_cell_length_b 4.376
_cell_length_c 27.314
_cell_angle_alpha 90.00
_cell_angle_beta 90.00
_cell_angle_gamma 90.00
loop_
_atom_site_label
_atom_site_fract_x
_atom_site_fract_y
_atom_site_fract_z
_atom_site_occupancy
La1 0.000 0.000 0.000 1
Tm1 0.500 0.000 0.346 1
Te1 0.000 0.000 0.255 1
Te2 0.000 0.000 0.596 1
Te3 0.000 0.000 0.878 1
Te4 0.500 0.000 0.096 1
Te5 0.500 0.000 0.463 1
Te6 0.500 0.000 0.755 1
# total magnetic moment: 0.00 μB/cell
# crystal system: orthorhombic
# E_form (uncorrected): -0.96 eV/atom
# volume: 523.2 Å³ per cell



# 7
# PaV2Cu (PBE-GGA, optimized geometry)
data_PaV2Cu
_chemical_formula_sum 'Pa1 V2 Cu1'
_symmetry_space_group_name_H-M 'P 4/m m m'
_symmetry_Int_Tables_number 123
_symmetry_space_group_name_Hall '-P 4 2'
_cell_length_a 4.358
_cell_length_b 4.358
_cell_length_c 3.326
_cell_angle_alpha 90.00
_cell_angle_beta 90.00
_cell_angle_gamma 90.00
loop_
_atom_site_label
_atom_site_fract_x
_atom_site_fract_y
_atom_site_fract_z
_atom_site_occupancy
Pa1 0.000 0.000 0.000 1
V1 0.000 0.500 0.500 1
Cu1 0.500 0.500 0.000 1
# total magnetic moment: 0.01 μB/cell
# crystal system: tetragonal
# volume: 63.2 Å³ per cell
# final energy: -7.7088 eV/atom



# 8
# BaHfAg2 (PBE-GGA, optimized geometry)
data_BaHfAg2
_chemical_formula_sum 'Ba4 Hf4 Ag8'
_symmetry_space_group_name_H-M 'I -4 2 d'
_symmetry_Int_Tables_number 122
_symmetry_space_group_name_Hall 'I -4 2bw'
_cell_length_a 8.187
_cell_length_b 8.187
_cell_length_c 7.144
_cell_angle_alpha 90.00
_cell_angle_beta 90.00
_cell_angle_gamma 90.00
loop_
_atom_site_label
_atom_site_fract_x
_atom_site_fract_y
_atom_site_fract_z
_atom_site_occupancy
Ba1 0.000 0.000 0.000 1
Hf1 0.000 0.000 0.500 1
Ag1 0.193 0.250 0.625 1
# relative energy among the computed polymorphs: 0.47 eV/f.u.
# total magnetic moment: 0.00 μB/cell
# crystal system: tetragonal
# volume: 478.9 Å³ per cell



# 9
# ScSb3 (PBE-GGA, optimized geometry)
data_ScSb3
_chemical_formula_sum 'Sc2 Sb6'
_symmetry_space_group_name_H-M 'I 4/m m m'
_symmetry_Int_Tables_number 139
_symmetry_space_group_name_Hall '-I 4 2'
_cell_length_a 4.400
_cell_length_b 4.400
_cell_length_c 10.588
_cell_angle_alpha 90.00
_cell_angle_beta 90.00
_cell_angle_gamma 90.00
loop_
_atom_site_label
_atom_site_fract_x
_atom_site_fract_y
_atom_site_fract_z
_atom_site_occupancy
Sc1 0.000 0.000 0.000 1
Sb1 0.000 0.000 0.500 1
Sb2 0.000 0.500 0.250 1
# relative energy among the computed polymorphs: 0.52 eV/f.u.
# total magnetic moment: 0.00 μB/cell
# crystal system: tetragonal
# E_form (uncorrected): -0.24 eV/atom
# volume: 205.0 Å³ per cell



# 10
# SnHg5Pb8 (PBE-GGA, optimized geometry)
data_SnHg5Pb8
_chemical_formula_sum 'Sn2 Hg10 Pb16'
_symmetry_space_group_name_H-M 'I -4'
_symmetry_Int_Tables_number 82
_symmetry_space_group_name_Hall 'I -4'
_cell_length_a 9.452
_cell_length_b 9.452
_cell_length_c 9.418
_cell_angle_alpha 90.00
_cell_angle_beta 90.00
_cell_angle_gamma 90.00
loop_
_atom_site_label
_atom_site_fract_x
_atom_site_fract_y
_atom_site_fract_z
_atom_site_occupancy
Sn1 0.000 0.000 0.000 1
Hg1 0.000 0.500 0.750 1
Hg2 0.127 0.253 0.370 1
Pb1 0.081 0.168 0.701 1
Pb2 0.082 0.333 0.040 1
# total magnetic moment: 0.00 μB/cell
# crystal system: tetragonal
# volume: 841.4 Å³ per cell
# final energy: -2.4731 eV/atom



# 11
# In3PO (PBE-GGA, optimized geometry)
data_In3PO
_chemical_formula_sum 'In3 P1 O1'
_symmetry_space_group_name_H-M 'P m -3 m'
_symmetry_Int_Tables_number 221
_symmetry_space_group_name_Hall '-P 4 2 3'
_cell_length_a 4.775
_cell_length_b 4.775
_cell_length_c 4.775
_cell_angle_alpha 90.00
_cell_angle_beta 90.00
_cell_angle_gamma 90.00
loop_
_atom_site_label
_atom_site_fract_x
_atom_site_fract_y
_atom_site_fract_z
_atom_site_occupancy
In1 0.000 0.000 0.500 1
P1 0.500 0.500 0.500 1
O1 0.000 0.000 0.000 1
# relative energy among the computed polymorphs: 0.00 eV/f.u.
# total magnetic moment: 0.00 μB/cell
# crystal system: cubic
# E_form (uncorrected): -0.02 eV/atom
# volume: 108.9 Å³ per cell



# 12
# CrPBr2 (PBE-GGA, optimized geometry)
data_CrPBr2
_chemical_formula_sum 'Cr2 P2 Br4'
_symmetry_space_group_name_H-M 'I m m m'
_symmetry_Int_Tables_number 71
_symmetry_space_group_name_Hall '-I 2 2'
_cell_length_a 3.428
_cell_length_b 3.593
_cell_length_c 15.922
_cell_angle_alpha 90.00
_cell_angle_beta 90.00
_cell_angle_gamma 90.00
loop_
_atom_site_label
_atom_site_fract_x
_atom_site_fract_y
_atom_site_fract_z
_atom_site_occupancy
Cr1 0.000 0.000 0.000 1
P1 0.000 0.000 0.500 1
Br1 0.000 0.500 0.358 1
# relative energy among the computed polymorphs: 1.74 eV/f.u.
# total magnetic moment: 5.56 μB/cell
# crystal system: orthorhombic
# E_form (uncorrected): 0.06 eV/atom
# volume: 196.1 Å³ per cell